No. 1
Ac3RhO6 (PBE-GGA, optimized geometry); space group = R-3; formation energy from raw total energies = -2.634 eV per atom; total magnetic moment = 0.0 μB/f.u.
1.0
-4.963 1.010 -4.905
0.523 -6.980 -0.842
-4.383 -0.203 5.519
Ac O Rh
6 12 2
Direct
0.100 0.271 0.588
0.271 0.588 0.100
0.588 0.100 0.271
0.412 0.900 0.729
0.900 0.729 0.412
0.729 0.412 0.900
0.056 0.940 0.702
0.940 0.702 0.056
0.431 0.562 0.786
0.944 0.060 0.298
0.060 0.298 0.944
0.786 0.431 0.562
0.214 0.569 0.438
0.298 0.944 0.060
0.438 0.214 0.569
0.702 0.056 0.940
0.562 0.786 0.431
0.569 0.438 0.214
0.500 0.500 0.500
0.000 0.000 0.000


No. 2
AcRhO (PBE-GGA, optimized geometry); space group = R-3m; formation energy from raw total energies = -1.564 eV per atom; total magnetic moment = 0.0 μB/f.u.; DOS at the Fermi energy = 6.99 states/eV/cell
1.0
-1.335 0.156 -3.828
2.628 -0.280 -3.078
-0.722 -10.580 -2.328
O Ac Rh
2 2 2
Direct
0.777 0.777 0.668
0.223 0.223 0.332
0.423 0.423 0.732
0.577 0.577 0.268
0.676 0.676 0.973
0.324 0.324 0.027


No. 3
Ac2RhO (PBE-GGA, optimized geometry); space group = P4/mmm; formation energy from raw total energies = -1.162 eV per atom; total magnetic moment = 0.0 μB/f.u.; DOS at the Fermi energy = 2.16 states/eV/cell; E above lowest polymorph = 341.2 meV per atom
1.0
3.517 0.000 0.000
0.000 3.517 0.000
0.000 0.000 7.254
Ac Rh O
2 1 1
Direct
0.000 0.000 0.738
0.000 0.000 0.262
0.500 0.500 0.000
0.500 0.500 0.500


No. 4
Ac3Rh4O12 (PBE-GGA, optimized geometry); space group = Im-3; formation energy from raw total energies = -1.715 eV per atom; total magnetic moment = 0.0 μB/f.u.; DOS at the Fermi energy = 17.38 states/eV/cell
1.0
0.125 -6.496 -2.552
2.702 0.024 6.436
-6.593 2.281 0.236
O Ac Rh
12 3 4
Direct
0.469 0.764 0.706
0.764 0.294 0.058
0.294 0.531 0.236
0.942 0.236 0.706
0.531 0.236 0.294
0.058 0.764 0.294
0.236 0.706 0.942
0.294 0.058 0.764
0.764 0.706 0.469
0.706 0.942 0.236
0.236 0.294 0.531
0.706 0.469 0.764
0.500 0.500 0.000
0.500 0.000 0.500
0.000 0.500 0.500
0.500 0.000 0.000
0.000 0.500 0.000
0.500 0.500 0.500
0.000 0.000 0.500


> Which formula does entry 4 have?

Ac3Rh4O12


> Among the records above, which one has the lowest formation energy from raw total energies?

Ac3RhO6


> Look up the total magnetic moment of the third one.

0.0 μB/f.u.